[1]
# Pm2ThSn3Rh4, optimized geometry, DFT PBE-GGA
data_Pm2ThSn3Rh4
_chemical_formula_sum 'Pm2 Th1 Sn3 Rh4'
_symmetry_space_group_name_H-M 'P -4 m 2'
_symmetry_Int_Tables_number 115
_cell_length_a 4.5321
_cell_length_b 4.5321
_cell_length_c 11.2031
_cell_angle_alpha 90.00
_cell_angle_beta 90.00
_cell_angle_gamma 90.00
loop_
_symmetry_equiv_pos_as_xyz
'x,y,z'
'y,-x,-z'
'-x,-y,z'
'-y,x,-z'
'-x,y,z'
'-y,-x,-z'
'x,-y,z'
'y,x,-z'
loop_
_atom_site_label
_atom_site_type_symbol
_atom_site_fract_x
_atom_site_fract_y
_atom_site_fract_z
_atom_site_occupancy
Pm1 Pm 0.0000 0.5000 0.2178 1
Th1 Th 0.0000 0.0000 0.5000 1
Sn1 Sn 0.0000 0.5000 0.8743 1
Sn2 Sn 0.5000 0.5000 0.5000 1
Rh1 Rh 0.0000 0.0000 0.0000 1
Rh2 Rh 0.0000 0.5000 0.6429 1
Rh3 Rh 0.5000 0.5000 0.0000 1
# Energy of formation in kJ/mol of formula units: -707
# Uncorrected energy in eV/f.u.: -65.660

=====

[2]
# PmTmSnRh, optimized geometry, DFT PBE-GGA
data_PmTmSnRh
_chemical_formula_sum 'Pm4 Tm4 Sn4 Rh4'
_symmetry_space_group_name_H-M 'F -4 3 m'
_symmetry_Int_Tables_number 216
_symmetry_space_group_name_Hall 'F -4 2 3'
_cell_length_a 7.2635
_cell_length_b 7.2635
_cell_length_c 7.2635
_cell_angle_alpha 90.00
_cell_angle_beta 90.00
_cell_angle_gamma 90.00
loop_
_atom_site_label
_atom_site_type_symbol
_atom_site_fract_x
_atom_site_fract_y
_atom_site_fract_z
_atom_site_occupancy
Pm1 Pm 0.0000 0.0000 0.0000 1
Tm1 Tm 0.0000 0.0000 0.5000 1
Sn1 Sn 0.2500 0.2500 0.7500 1
Rh1 Rh 0.2500 0.2500 0.2500 1
# Energy of formation in kJ/mol of formula units: -239
# Uncorrected energy in eV/f.u.: -23.050

=====

[3]
# Pm2TmSn3Rh4, optimized geometry, DFT PBE-GGA
data_Pm2TmSn3Rh4
_chemical_formula_sum 'Pm2 Tm1 Sn3 Rh4'
_symmetry_space_group_name_H-M 'P -4 m 2'
_symmetry_Int_Tables_number 115
_cell_length_a 4.3900
_cell_length_b 4.3900
_cell_length_c 11.4373
_cell_angle_alpha 90.00
_cell_angle_beta 90.00
_cell_angle_gamma 90.00
loop_
_symmetry_equiv_pos_as_xyz
'x,y,z'
'y,-x,-z'
'-x,-y,z'
'-y,x,-z'
'-x,y,z'
'-y,-x,-z'
'x,-y,z'
'y,x,-z'
loop_
_atom_site_label
_atom_site_type_symbol
_atom_site_fract_x
_atom_site_fract_y
_atom_site_fract_z
_atom_site_occupancy
Pm1 Pm 0.0000 0.5000 0.2326 1
Tm1 Tm 0.0000 0.0000 0.5000 1
Sn1 Sn 0.0000 0.5000 0.8727 1
Sn2 Sn 0.5000 0.5000 0.5000 1
Rh1 Rh 0.0000 0.0000 0.0000 1
Rh2 Rh 0.0000 0.5000 0.6452 1
Rh3 Rh 0.5000 0.5000 0.0000 1
# Energy of formation in kJ/mol of formula units: -731
# Uncorrected energy in eV/f.u.: -62.963

=====

[4]
# Pm2ZnSn2Rh5, optimized geometry, DFT PBE-GGA
data_Pm2ZnSn2Rh5
_chemical_formula_sum 'Pm4 Zn2 Sn4 Rh10'
_symmetry_space_group_name_H-M 'P 4/m b m'
_symmetry_Int_Tables_number 127
_symmetry_space_group_name_Hall '-P 4 2ab'
_cell_length_a 10.2439
_cell_length_b 10.2439
_cell_length_c 3.6516
_cell_angle_alpha 90.00
_cell_angle_beta 90.00
_cell_angle_gamma 90.00
loop_
_atom_site_label
_atom_site_type_symbol
_atom_site_fract_x
_atom_site_fract_y
_atom_site_fract_z
_atom_site_occupancy
Pm1 Pm 0.1696 0.3304 0.0000 1
Zn1 Zn 0.0000 0.0000 0.0000 1
Sn1 Sn 0.1305 0.6305 0.0000 1
Rh1 Rh 0.0000 0.5000 0.5000 1
Rh2 Rh 0.0555 0.8042 0.5000 1
# Energy of formation in kJ/mol of formula units: -468
# Uncorrected energy in eV/f.u.: -60.389

=====

[5]
# PmZnSnRh, optimized geometry, DFT PBE-GGA
data_PmZnSnRh
_chemical_formula_sum 'Pm4 Zn4 Sn4 Rh4'
_symmetry_space_group_name_H-M 'F -4 3 m'
_symmetry_Int_Tables_number 216
_symmetry_space_group_name_Hall 'F -4 2 3'
_cell_length_a 6.8394
_cell_length_b 6.8394
_cell_length_c 6.8394
_cell_angle_alpha 90.00
_cell_angle_beta 90.00
_cell_angle_gamma 90.00
loop_
_atom_site_label
_atom_site_type_symbol
_atom_site_fract_x
_atom_site_fract_y
_atom_site_fract_z
_atom_site_occupancy
Pm1 Pm 0.0000 0.0000 0.0000 1
Zn1 Zn 0.2500 0.2500 0.2500 1
Sn1 Sn 0.0000 0.0000 0.5000 1
Rh1 Rh 0.2500 0.2500 0.7500 1
# Energy of formation in kJ/mol of formula units: -194
# Uncorrected energy in eV/f.u.: -19.386

=====

[6]
# Pm2ZnSn3Rh4, optimized geometry, DFT PBE-GGA
data_Pm2ZnSn3Rh4
_chemical_formula_sum 'Pm2 Zn1 Sn3 Rh4'
_symmetry_space_group_name_H-M 'P -4 m 2'
_symmetry_Int_Tables_number 115
_cell_length_a 4.3879
_cell_length_b 4.3879
_cell_length_c 10.8562
_cell_angle_alpha 90.00
_cell_angle_beta 90.00
_cell_angle_gamma 90.00
loop_
_symmetry_equiv_pos_as_xyz
'x,y,z'
'y,-x,-z'
'-x,-y,z'
'-y,x,-z'
'-x,y,z'
'-y,-x,-z'
'x,-y,z'
'y,x,-z'
loop_
_atom_site_label
_atom_site_type_symbol
_atom_site_fract_x
_atom_site_fract_y
_atom_site_fract_z
_atom_site_occupancy
Pm1 Pm 0.0000 0.5000 0.2483 1
Zn1 Zn 0.5000 0.5000 0.0000 1
Sn1 Sn 0.0000 0.0000 0.0000 1
Sn2 Sn 0.0000 0.5000 0.6325 1
Rh1 Rh 0.0000 0.0000 0.5000 1
Rh2 Rh 0.0000 0.5000 0.8701 1
Rh3 Rh 0.5000 0.5000 0.5000 1
# Energy of formation in kJ/mol of formula units: -644
# Uncorrected energy in eV/f.u.: -58.861

=====

[7]
# PmZnSn2Rh2, optimized geometry, DFT PBE-GGA
data_PmZnSn2Rh2
_chemical_formula_sum 'Pm1 Zn1 Sn2 Rh2'
_symmetry_space_group_name_H-M 'P 4/m m m'
_symmetry_Int_Tables_number 123
_symmetry_space_group_name_Hall '-P 4 2'
_cell_length_a 4.6884
_cell_length_b 4.6884
_cell_length_c 5.8790
_cell_angle_alpha 90.00
_cell_angle_beta 90.00
_cell_angle_gamma 90.00
loop_
_atom_site_label
_atom_site_type_symbol
_atom_site_fract_x
_atom_site_fract_y
_atom_site_fract_z
_atom_site_occupancy
Pm1 Pm 0.0000 0.0000 0.0000 1
Zn1 Zn 0.0000 0.0000 0.5000 1
Sn1 Sn 0.5000 0.5000 0.2418 1
Rh1 Rh 0.0000 0.5000 0.5000 1
# Energy of formation in kJ/mol of formula units: -219
# Uncorrected energy in eV/f.u.: -31.007

=====

[8]
# Pm2ZnSn4Rh3, optimized geometry, DFT PBE-GGA
data_Pm2ZnSn4Rh3
_chemical_formula_sum 'Pm2 Zn1 Sn4 Rh3'
_symmetry_space_group_name_H-M 'P -4 m 2'
_symmetry_Int_Tables_number 115
_cell_length_a 4.4696
_cell_length_b 4.4696
_cell_length_c 10.9819
_cell_angle_alpha 90.00
_cell_angle_beta 90.00
_cell_angle_gamma 90.00
loop_
_symmetry_equiv_pos_as_xyz
'x,y,z'
'y,-x,-z'
'-x,-y,z'
'-y,x,-z'
'-x,y,z'
'-y,-x,-z'
'x,-y,z'
'y,x,-z'
loop_
_atom_site_label
_atom_site_type_symbol
_atom_site_fract_x
_atom_site_fract_y
_atom_site_fract_z
_atom_site_occupancy
Pm1 Pm 0.0000 0.5000 0.2470 1
Zn1 Zn 0.0000 0.0000 0.5000 1
Sn1 Sn 0.0000 0.0000 0.0000 1
Sn2 Sn 0.0000 0.5000 0.6360 1
Sn3 Sn 0.5000 0.5000 0.0000 1
Rh1 Rh 0.0000 0.5000 0.8703 1
Rh2 Rh 0.5000 0.5000 0.5000 1
# Energy of formation in kJ/mol of formula units: -599
# Uncorrected energy in eV/f.u.: -55.052

=====

[9]
# Pm2Zn2SnRh5, optimized geometry, DFT PBE-GGA
data_Pm2Zn2SnRh5
_chemical_formula_sum 'Pm4 Zn4 Sn2 Rh10'
_symmetry_space_group_name_H-M 'P 4/m b m'
_symmetry_Int_Tables_number 127
_symmetry_space_group_name_Hall '-P 4 2ab'
_cell_length_a 9.7983
_cell_length_b 9.7983
_cell_length_c 3.6889
_cell_angle_alpha 90.00
_cell_angle_beta 90.00
_cell_angle_gamma 90.00
loop_
_atom_site_label
_atom_site_type_symbol
_atom_site_fract_x
_atom_site_fract_y
_atom_site_fract_z
_atom_site_occupancy
Pm1 Pm 0.1748 0.3252 0.0000 1
Zn1 Zn 0.1228 0.6228 0.0000 1
Sn1 Sn 0.0000 0.0000 0.0000 1
Rh1 Rh 0.0000 0.5000 0.5000 1
Rh2 Rh 0.0664 0.7936 0.5000 1
# Energy of formation in kJ/mol of formula units: -599
# Uncorrected energy in eV/f.u.: -59.015

=====

[10]
# Pm2ZrSn3Rh4, optimized geometry, DFT PBE-GGA
data_Pm2ZrSn3Rh4
_chemical_formula_sum 'Pm2 Zr1 Sn3 Rh4'
_symmetry_space_group_name_H-M 'P -4 m 2'
_symmetry_Int_Tables_number 115
_cell_length_a 4.3672
_cell_length_b 4.3672
_cell_length_c 11.3405
_cell_angle_alpha 90.00
_cell_angle_beta 90.00
_cell_angle_gamma 90.00
loop_
_symmetry_equiv_pos_as_xyz
'x,y,z'
'y,-x,-z'
'-x,-y,z'
'-y,x,-z'
'-x,y,z'
'-y,-x,-z'
'x,-y,z'
'y,x,-z'
loop_
_atom_site_label
_atom_site_type_symbol
_atom_site_fract_x
_atom_site_fract_y
_atom_site_fract_z
_atom_site_occupancy
Pm1 Pm 0.0000 0.5000 0.2386 1
Zr1 Zr 0.0000 0.0000 0.5000 1
Sn1 Sn 0.0000 0.5000 0.8713 1
Sn2 Sn 0.5000 0.5000 0.5000 1
Rh1 Rh 0.0000 0.0000 0.0000 1
Rh2 Rh 0.0000 0.5000 0.6416 1
Rh3 Rh 0.5000 0.5000 0.0000 1
# Energy of formation in kJ/mol of formula units: -718
# Uncorrected energy in eV/f.u.: -66.908

=====

[11]
# SrPm2Rh, optimized geometry, DFT PBE-GGA
data_SrPm2Rh
_chemical_formula_sum 'Sr1 Pm2 Rh1'
_symmetry_space_group_name_H-M 'P 4/m m m'
_symmetry_Int_Tables_number 123
_symmetry_space_group_name_Hall '-P 4 2'
_cell_length_a 3.6182
_cell_length_b 3.6182
_cell_length_c 9.9359
_cell_angle_alpha 90.00
_cell_angle_beta 90.00
_cell_angle_gamma 90.00
loop_
_atom_site_label
_atom_site_type_symbol
_atom_site_fract_x
_atom_site_fract_y
_atom_site_fract_z
_atom_site_occupancy
Sr1 Sr 0.0000 0.0000 0.0000 1
Pm1 Pm 0.5000 0.5000 0.3359 1
Rh1 Rh 0.0000 0.0000 0.5000 1
# Energy of formation in kJ/mol of formula units: -106
# Offset from the most stable computed form in meV per atom: 79
# Uncorrected energy in eV/f.u.: -19.635

=====

[12]
# SrPm5Rh2, optimized geometry, DFT PBE-GGA
data_SrPm5Rh2
_chemical_formula_sum 'Sr2 Pm10 Rh4'
_symmetry_space_group_name_H-M 'I m m m'
_symmetry_Int_Tables_number 71
_symmetry_space_group_name_Hall '-I 2 2'
_cell_length_a 4.3167
_cell_length_b 7.6401
_cell_length_c 15.8223
_cell_angle_alpha 90.00
_cell_angle_beta 90.00
_cell_angle_gamma 90.00
loop_
_atom_site_label
_atom_site_type_symbol
_atom_site_fract_x
_atom_site_fract_y
_atom_site_fract_z
_atom_site_occupancy
Sr1 Sr 0.0000 0.0000 0.0000 1
Pm1 Pm 0.0000 0.2386 0.3389 1
Pm2 Pm 0.0000 0.5000 0.0000 1
Rh1 Rh 0.0000 0.5000 0.1885 1
# Energy of formation in kJ/mol of formula units: -246
# Uncorrected energy in eV/f.u.: -42.688